This record from OQMD via LeMat-Bulk describes a relaxed Zr2BeAu crystal. The functional is GGA-PBE.

```
4
Lattice="0.000 3.333 3.333 3.333 0.000 3.333 3.333 3.333 0.000" Properties=species:S:1:pos:R:3 pbc="T T T"
Au 1.667 1.667 1.667
Be 3.333 3.333 3.333
Zr 5.000 5.000 5.000
Zr 0.000 0.000 0.000
```

Properties
Space group: F-43m, No. 216
Total magnetization in μB/cell: 3.001
Electronic total energy in eV/atom: -5.86
Calculated density in kg/m³: 8708